Record 1
Entry from the Alexandria database: crystalline YHoCuAg at its relaxed geometry (GGA-PBE).

Lattice parameters (Å, degrees): 5.0354 5.0354 5.0354 60.00 60.00 60.00
With the nearest neighbours (Å) after each atom.
Fractional coordinates of all 4 atoms:
Ho 0.2500 0.2500 0.2500  4 Cu 3.08, 4 Ag 3.08
Cu 0.0000 0.0000 0.0000  4 Ho 3.08, 4 Y 3.08
Y 0.7500 0.7500 0.7500  4 Cu 3.08, 4 Ag 3.08
Ag 0.5000 0.5000 0.5000  4 Ho 3.08, 4 Y 3.08

Output
- Total energy: -4.767 eV per atom
- Calculated density: 7.8 Mg/m³
- Formation energy: -269.5 meV per atom
- ΔE to the lowest computed polymorph: 8 kJ/mol of formula units
- DOS(E_F): 0.579 states/eV per atom
- Space group: No. 216

Record 2
Entry from the Alexandria database: crystalline HoZn3CuAg at its relaxed geometry (GGA-PBE).

Lattice parameters (Å, degrees): 5.5787 5.9353 7.2246 114.25 90.00 90.00
With the nearest neighbours (Å) after each atom.
Fractional coordinates of all 12 atoms:
Ag 0.2500 0.8984 0.7968  6 Zn 2.59-2.84, 1 Ho 2.75
Ag 0.7500 0.1016 0.2032  6 Zn 2.59-2.84, 1 Ho 2.75
Zn 0.0000 0.7087 0.0000  1 Zn 2.48, 2 Ag 2.59, 2 Cu 2.69
Zn 0.5000 0.2913 0.0000  1 Zn 2.48, 2 Ag 2.59, 2 Cu 2.69
Zn 0.0000 0.2913 0.0000  1 Zn 2.48, 2 Ag 2.59, 2 Cu 2.69
Zn 0.7500 0.8571 0.7141  1 Cu 2.77, 2 Ag 2.84, 4 Zn 2.91, 2 Ho 3.03
Zn 0.5000 0.7087 0.0000  1 Zn 2.48, 2 Ag 2.59, 2 Cu 2.69
Zn 0.2500 0.1429 0.2859  1 Cu 2.77, 2 Ag 2.84, 4 Zn 2.91, 2 Ho 3.03
Cu 0.2500 0.3529 0.7058  5 Zn 2.69-2.77, 2 Ho 2.85
Cu 0.7500 0.6471 0.2942  5 Zn 2.69-2.77, 2 Ho 2.85
Ho 0.7500 0.3102 0.6204  1 Ag 2.75, 2 Cu 2.85, 2 Zn 3.03
Ho 0.2500 0.6898 0.3796  1 Ag 2.75, 2 Cu 2.85, 2 Zn 3.03

Output
- Total energy: -2.607 eV per atom
- Calculated density: 8.1 Mg/m³
- Formation energy: -49.4 meV per atom
- DOS(E_F): 0.315 states/eV per atom
- Space group: No. 63

Record 3
Entry from the Alexandria database: crystalline HoZn6CuAg at its relaxed geometry (GGA-PBE).

Lattice parameters (Å, degrees): 6.9742 8.8627 7.7494 124.88 116.74 90.00
With the nearest neighbours (Å) after each atom.
Fractional coordinates of all 18 atoms:
Ag 0.5000 0.0000 0.5000  6 Zn 2.58-2.74
Ag 0.0000 0.0000 0.5000  6 Zn 2.58-2.74
Zn 0.0672 0.8586 0.7497  1 Cu 2.53, 3 Zn 2.68-2.77, 1 Ag 2.74
Zn 0.9877 0.2377 0.9754  8 Zn 2.87-2.97, 2 Ag 3.07
Zn 0.6825 0.8586 0.7497  1 Cu 2.53, 3 Zn 2.68-2.77, 1 Ag 2.74
Zn 0.4286 0.1786 0.8573  2 Cu 2.34, 2 Ag 2.58
Zn 0.0123 0.7623 0.0246  8 Zn 2.87-2.97, 2 Ag 3.07
Zn 0.3175 0.1414 0.2503  1 Cu 2.53, 3 Zn 2.68-2.77, 1 Ag 2.74
Zn 0.5714 0.8214 0.1427  2 Cu 2.34, 2 Ag 2.58
Zn 0.9328 0.1414 0.2503  1 Cu 2.53, 3 Zn 2.68-2.77, 1 Ag 2.74
Zn 0.9328 0.6089 0.2503  1 Cu 2.53, 3 Zn 2.68-2.77, 1 Ag 2.74
Zn 0.3175 0.6089 0.2503  1 Cu 2.53, 3 Zn 2.68-2.77, 1 Ag 2.74
Zn 0.6825 0.3911 0.7497  1 Cu 2.53, 3 Zn 2.68-2.77, 1 Ag 2.74
Zn 0.0672 0.3911 0.7497  1 Cu 2.53, 3 Zn 2.68-2.77, 1 Ag 2.74
Ho 0.7036 0.4536 0.4072  9 Zn 2.92-3.10, 2 Cu 3.10
Ho 0.2964 0.5464 0.5928  9 Zn 2.92-3.10, 2 Cu 3.10
Cu 0.5000 0.0000 0.0000  6 Zn 2.34-2.53
Cu 0.5000 0.5000 0.0000  6 Zn 2.34-2.53

Output
- Total energy: -2.113 eV per atom
- Calculated density: 7.4 Mg/m³
- Formation energy: 16.7 meV per atom
- DOS(E_F): 0.429 states/eV per atom
- Space group: No. 74

Record 4
Entry from the Alexandria database: crystalline HoZn5Cu2Ag at its relaxed geometry (GGA-PBE).

Lattice parameters (Å, degrees): 4.6347 4.6347 7.1410 90.00 90.00 90.00
With the nearest neighbours (Å) after each atom.
Fractional coordinates of all 9 atoms:
Zn 0.5000 0.0000 0.7727  2 Cu 2.36
Zn 0.5000 0.0000 0.2273  2 Cu 2.36
Zn 0.0000 0.5000 0.7727  2 Cu 2.36
Zn 0.5000 0.5000 0.5000  2 Cu 2.41
Zn 0.0000 0.5000 0.2273  2 Cu 2.36
Cu 0.5000 0.5000 0.8376  1 Cu 2.32, 5 Zn 2.36-2.41
Cu 0.5000 0.5000 0.1624  1 Cu 2.32, 5 Zn 2.36-2.41
Ho 0.0000 0.0000 0.5000  12 Zn 3.03-3.28
Ag 0.0000 0.0000 0.0000  8 Zn 2.83

Output
- Total energy: -2.461 eV per atom
- Calculated density: 7.9 Mg/m³
- Formation energy: -17.1 meV per atom
- DOS(E_F): 0.290 states/eV per atom
- Space group: No. 123

Record 5
Entry from the Alexandria database: crystalline Ho4ZnCuAg2 at its relaxed geometry (GGA-PBE).

Lattice parameters (Å, degrees): 5.0441 5.0441 8.7507 73.25 73.25 60.00
With the nearest neighbours (Å) after each atom.
Fractional coordinates of all 8 atoms:
Ho 0.6226 0.6226 0.1322  1 Cu 3.04, 4 Ag 3.05-3.09, 3 Zn 3.11
Ho 0.1271 0.1271 0.6187  3 Cu 3.07, 4 Ag 3.11-3.13, 1 Zn 3.15
Ho 0.8729 0.8729 0.3813  3 Cu 3.07, 4 Ag 3.11-3.13, 1 Zn 3.15
Ho 0.3774 0.3774 0.8678  1 Cu 3.04, 4 Ag 3.05-3.09, 3 Zn 3.11
Zn 0.0000 0.0000 0.0000  8 Ho 3.11-3.15
Cu 0.5000 0.5000 0.5000  8 Ho 3.04-3.07
Ag 0.7474 0.7474 0.7578  8 Ho 3.05-3.13
Ag 0.2526 0.2526 0.2422  8 Ho 3.05-3.13

Output
- Total energy: -3.976 eV per atom
- Calculated density: 9.2 Mg/m³
- Formation energy: -303.3 meV per atom
- DOS(E_F): 0.740 states/eV per atom
- Space group: No. 166

Record 6
Entry from the Alexandria database: crystalline HoZrCuAg at its relaxed geometry (GGA-PBE).

Lattice parameters (Å, degrees): 4.8920 4.8920 4.8920 60.00 60.00 60.00
With the nearest neighbours (Å) after each atom.
Fractional coordinates of all 4 atoms:
Ho 0.0000 0.0000 0.0000  4 Ag 3.00, 4 Cu 3.00
Cu 0.2500 0.2500 0.2500  4 Zr 3.00, 4 Ho 3.00
Ag 0.7500 0.7500 0.7500  4 Zr 3.00, 4 Ho 3.00
Zr 0.5000 0.5000 0.5000  4 Ag 3.00, 4 Cu 3.00

Output
- Total energy: -5.098 eV per atom
- Calculated density: 8.6 Mg/m³
- Formation energy: -79.9 meV per atom
- DOS(E_F): 1.120 states/eV per atom
- Space group: No. 216

Record 7
Entry from the Alexandria database: crystalline CuAgI3 at its relaxed geometry (GGA-PBE).

Lattice parameters (Å, degrees): 5.4670 5.4670 5.4670 90.00 90.00 90.00
With the nearest neighbours (Å) after each atom.
Fractional coordinates of all 5 atoms:
Cu 0.0000 0.0000 0.0000  6 I 2.73
Ag 0.5000 0.5000 0.5000  12 I 3.87
I 0.0000 0.5000 0.0000  2 Cu 2.73
I 0.5000 0.0000 0.0000  2 Cu 2.73
I 0.0000 0.0000 0.5000  2 Cu 2.73

Output
- Total energy: -2.087 eV per atom
- Calculated density: 5.6 Mg/m³
- ΔE to the lowest computed polymorph: 168 kJ/mol of formula units
- DOS(E_F): 0.581 states/eV per atom
- Space group: No. 221

Record 8
Entry from the Alexandria database: crystalline Cu2AgI6 at its relaxed geometry (GGA-PBE).

Lattice parameters (Å, degrees): 7.2276 9.3011 9.3011 85.59 81.75 81.75
With the nearest neighbours (Å) after each atom.
Fractional coordinates of all 18 atoms:
I 0.8730 0.2044 0.0344  1 Cu 2.58
I 0.6281 0.2931 0.4612  2 Cu 2.56-2.58
I 0.1281 0.4612 0.2931  2 Cu 2.56-2.58
I 0.6166 0.6130 0.1239  1 Cu 2.55
I 0.3730 0.0344 0.2044  1 Cu 2.58
I 0.1166 0.1239 0.6130  1 Cu 2.55
I 0.3719 0.7069 0.5388  2 Cu 2.56-2.58
I 0.3834 0.3870 0.8761  1 Cu 2.55
I 0.6270 0.9656 0.7956  1 Cu 2.58
I 0.8834 0.8761 0.3870  1 Cu 2.55
I 0.8719 0.5388 0.7069  2 Cu 2.56-2.58
I 0.1270 0.7956 0.9656  1 Cu 2.58
Cu 0.8190 0.3936 0.2295  4 I 2.55-2.58
Cu 0.3190 0.2295 0.3936  4 I 2.55-2.58
Cu 0.6810 0.7705 0.6064  4 I 2.55-2.58
Cu 0.1810 0.6064 0.7705  4 I 2.55-2.58
Ag 0.2500 0.1032 0.8968  6 I 2.90-3.11
Ag 0.7500 0.8968 0.1032  6 I 2.90-3.11

Output
- Total energy: -2.324 eV per atom
- Calculated density: 5.4 Mg/m³
- DOS(E_F): 1.430 states/eV per atom
- Space group: No. 15

Record 9
Entry from the Alexandria database: crystalline CuAgI2 at its relaxed geometry (GGA-PBE).

Lattice parameters (Å, degrees): 6.3991 6.3991 7.7067 65.47 65.47 90.00
With the nearest neighbours (Å) after each atom.
Fractional coordinates of all 8 atoms:
I 0.3750 0.4060 0.7500  2 Cu 2.64, 2 Ag 2.87
I 0.5940 0.1250 0.2500  2 Cu 2.64, 2 Ag 2.87
I 0.8750 0.8440 0.7500  2 Cu 2.64, 2 Ag 2.87
I 0.1560 0.6250 0.2500  2 Cu 2.64, 2 Ag 2.87
Cu 0.5000 0.5000 0.0000  4 I 2.64
Cu 0.2500 0.7500 0.5000  4 I 2.64
Ag 0.0000 0.0000 0.0000  4 I 2.87
Ag 0.7500 0.2500 0.5000  4 I 2.87

Output
- Total energy: -2.706 eV per atom
- Calculated density: 5.5 Mg/m³
- ΔE to the lowest computed polymorph: 0 kJ/mol of formula units
- DOS(E_F): 0.000 states/eV per atom
- Space group: No. 122

Record 10
Entry from the Alexandria database: crystalline CuAgI4 at its relaxed geometry (GGA-PBE).

Lattice parameters (Å, degrees): 4.5151 7.0861 12.9764 99.47 90.00 90.00
With the nearest neighbours (Å) after each atom.
Fractional coordinates of all 12 atoms:
Ag 0.5000 0.5000 0.0000  4 I 2.85-2.94
Ag 0.0000 0.0000 0.5000  4 I 2.85-2.94
I 0.0920 0.6674 0.8737  1 Cu 2.67, 1 Ag 2.85
I 0.1599 0.3646 0.6306  1 Cu 2.59
I 0.5920 0.8326 0.6263  1 Cu 2.67, 1 Ag 2.85
I 0.4080 0.1674 0.3737  1 Cu 2.67, 1 Ag 2.85
I 0.8401 0.6354 0.3694  1 Cu 2.59
I 0.9080 0.3326 0.1263  1 Cu 2.67, 1 Ag 2.85
I 0.6599 0.1354 0.8694  1 Cu 2.59
I 0.3401 0.8646 0.1306  1 Cu 2.59
Cu 0.0000 0.0000 0.0000  4 I 2.59-2.67
Cu 0.5000 0.5000 0.5000  4 I 2.59-2.67

Output
- Total energy: -2.260 eV per atom
- Calculated density: 5.5 Mg/m³
- ΔE to the lowest computed polymorph: 0 kJ/mol of formula units
- DOS(E_F): 0.553 states/eV per atom
- Space group: No. 14

Record 11
Entry from the Alexandria database: crystalline CuAg3I4 at its relaxed geometry (GGA-PBE).

Lattice parameters (Å, degrees): 6.5076 6.5076 7.9335 114.21 114.21 90.00
With the nearest neighbours (Å) after each atom.
Fractional coordinates of all 8 atoms:
I 0.3522 0.3522 0.2358  1 Cu 2.64, 3 Ag 2.87-2.88
I 0.8836 0.8836 0.2358  1 Cu 2.64, 3 Ag 2.87-2.88
I 0.6478 0.1164 0.7642  1 Cu 2.64, 3 Ag 2.87-2.88
I 0.1164 0.6478 0.7642  1 Cu 2.64, 3 Ag 2.87-2.88
Ag 0.7500 0.2500 0.5000  4 I 2.87
Ag 0.5000 0.5000 0.0000  4 I 2.88
Ag 0.2500 0.7500 0.5000  4 I 2.87
Cu 0.0000 0.0000 0.0000  4 I 2.64

Output
- Total energy: -2.581 eV per atom
- Calculated density: 5.4 Mg/m³
- Space group: No. 121

Record 12
Entry from the Alexandria database: crystalline Cu3Ag3I8 at its relaxed geometry (GGA-PBE).

Lattice parameters (Å, degrees): 8.5090 8.5090 8.5090 59.22 59.22 59.22
With the nearest neighbours (Å) after each atom.
Fractional coordinates of all 14 atoms:
I 0.2406 0.7551 0.2406  2 Cu 2.63-2.88
I 0.7515 0.7515 0.7515  1 Cu 2.61
I 0.2406 0.2406 0.7551  2 Cu 2.63-2.88
I 0.2485 0.2485 0.2485  1 Cu 2.61
I 0.2449 0.7594 0.7594  2 Cu 2.63-2.88
I 0.7594 0.7594 0.2449  2 Cu 2.63-2.88
I 0.7594 0.2449 0.7594  2 Cu 2.63-2.88
I 0.7551 0.2406 0.2406  2 Cu 2.63-2.88
Ag 0.5000 0.0000 0.0000  6 I 2.97-3.02
Ag 0.0000 0.0000 0.5000  6 I 2.97-3.02
Ag 0.0000 0.5000 0.0000  6 I 2.97-3.02
Cu 0.6269 0.6269 0.6269  4 I 2.61-2.63
Cu 0.0000 0.0000 0.0000  6 I 2.88
Cu 0.3731 0.3731 0.3731  4 I 2.61-2.63

Output
- Total energy: -2.493 eV per atom
- Calculated density: 5.9 Mg/m³
- DOS(E_F): 0.978 states/eV per atom
- Space group: No. 166